12
Lattice="5.193 0.000 0.000 0.833 5.175 0.000 1.028 0.883 7.092" Properties=species:S:1:pos:R:3 comment="RbMn2CoF8 (PBE+U, optimized geometry)" spacegroup="No. 2" m_tot_mub_per_cell=12.00 dft_energy_ev_per_atom=-5.421 n_ef_per_ev_cell=2.67 pbc="T T T"
Rb 0.000 0.000 0.000
Mn 3.008 2.587 1.697
Mn 4.046 3.471 5.395
Co 0.514 0.441 3.546
F 2.494 4.618 4.940
F 2.140 4.309 2.161
F 1.993 1.719 3.123
F 3.106 2.667 7.004
F 3.948 3.391 0.088
F 5.061 4.339 3.970
F 4.914 1.749 4.931
F 4.560 1.440 2.152